Entry from the Alexandria database: MnSe2BrF after structural relaxation (PBE with a Hubbard U).

The calculation puts the energy relative to the lowest polymorph listed for this composition at 0.0000 eV/atom. The value obtained for the density of states at the Fermi level is 3.2 states/eV/f.u. Its uncorrected energy is -3.5515 eV/atom.

It has space group P4/mmm (No. 123), with a = 4.350 Å, b = 4.350 Å, c = 5.988 Å, α = 90.00°, β = 90.00° and γ = 90.00°. The inequivalent atoms are Mn at (0.000, 0.000, 0.000), Se at (0.000, 0.500, 0.500), Br at (0.500, 0.500, 0.000) and F at (0.500, 0.500, 0.500).